Material: AcTl3Pd3
Method: DFT, PBE-GGA
State: relaxed

Cell: 7.4537 7.4537 7.4537 Å, 90.00 90.00 90.00°
Space group Pm-3n (No. 223)
One atom of each set of equivalent atoms:
Ac: 0.0000 0.0000 0.0000 x2
Tl: 0.0000 0.2500 0.5000 x6
Pd: 0.0000 0.5000 0.2500 x6

E above lowest polymorph (eV per atom): 0.403
Formation energy from the elements (eV/atom): 0.03